PBE+U MnOF, optimized geometry; N(E_F) = 0.04 states/eV per atom; calculated total energy = -153.35 eV per cell
1.0
-2.5276 0.9365 1.3099
1.6503 -1.4156 4.1964
8.4016 16.3263 4.5400
F Mn O
8 8 8
Direct
0.5000 0.8282 0.4568
0.5000 0.8590 0.7057
0.5000 0.2241 0.8005
0.5000 0.7690 0.2072
0.0000 0.2943 0.9194
0.5000 0.1990 0.5485
0.5000 0.2048 0.2970
0.5000 0.1359 0.0374
0.5000 0.5000 0.3769
0.5000 0.4529 0.1210
0.0000 0.9299 0.9931
0.5000 0.5241 0.6267
0.0000 0.0376 0.7523
0.5000 0.5460 0.8730
0.0000 0.0133 0.5021
0.0000 0.9817 0.2512
0.0000 0.3436 0.6790
0.5000 0.7818 0.9468
0.0000 0.2536 0.1696
0.0000 0.7130 0.3325
0.0000 0.7150 0.5773
0.0000 0.6529 0.0730
0.0000 0.3133 0.4276
0.0000 0.7269 0.8253